# 1
DFT (PBE) results for a geometry-optimized BaSmPdSe3 structure.

Calculated values
Total moment: 0.00 μB per formula unit
Total DFT energy (no corrections): -5.243 eV/atom

Lattice parameters (Å, degrees): 14.3865 4.2738 10.9677 90.00 90.00 90.00
Last column: nearest neighbours and their distance in Å.
Space group Pnma (No. 62)
One atom of each set of equivalent atoms:
1 Ba 0.2293 0.2500 0.0419 x4  7 Se 3.27-3.59, 1 Pd 3.56
2 Sm 0.0250 0.2500 0.3306 x4  6 Se 2.91-2.98
3 Pd 0.0020 0.2500 0.9127 x4  3 Se 2.52-2.59
4 Se 0.0929 0.7500 0.8868 x4  3 Pd 2.52-2.59
5 Se 0.1010 0.2500 0.5766 x4  3 Sm 2.91-2.98
6 Se 0.1508 0.7500 0.2550 x4  1 Pd 2.87, 2 Sm 2.92



# 2
DFT (PBE) results for a geometry-optimized BaYPdSe3 structure.

Calculated values
Total moment: 0.00 μB per formula unit
Total DFT energy (no corrections): -5.540 eV/atom

Lattice parameters (Å, degrees): 14.2682 4.2350 10.8586 90.00 90.00 90.00
Last column: nearest neighbours and their distance in Å.
Space group Pnma (No. 62)
One atom of each set of equivalent atoms:
1 Ba 0.2293 0.2500 0.0429 x4  7 Se 3.26-3.54, 1 Pd 3.56
2 Y 0.0245 0.2500 0.3322 x4  6 Se 2.85-2.93
3 Pd 0.0009 0.2500 0.9116 x4  3 Se 2.51-2.61
4 Se 0.0931 0.7500 0.8827 x4  3 Pd 2.51-2.61
5 Se 0.0988 0.2500 0.5763 x4  3 Y 2.85-2.93
6 Se 0.1491 0.7500 0.2586 x4  1 Pd 2.83, 2 Y 2.88



# 3
DFT (PBE) results for a geometry-optimized Ba2SiPd structure.

Calculated values
Total DFT energy (no corrections): -4.118 eV/atom

Lattice parameters (Å, degrees): 4.5867 5.1101 11.0077 90.00 90.00 90.00
Last column: nearest neighbours and their distance in Å.
Space group Amm2 (No. 38)
One atom of each set of equivalent atoms:
1 Ba 0.0000 0.0000 0.0000 x2  3 Pd 3.28-3.44, 4 Si 3.64
2 Ba 0.5000 0.0000 0.2962 x2  3 Si 3.28-3.44, 4 Pd 3.64
3 Si 0.5000 0.0000 0.6091 x2  2 Pd 2.45
4 Pd 0.0000 0.0000 0.6875 x2  2 Si 2.45



# 4
DFT (PBE) results for a geometry-optimized BaSiPd structure.

Calculated values
Total DFT energy (no corrections): -4.176 eV/atom

Lattice parameters (Å, degrees): 6.9227 6.9227 6.9227 90.00 90.00 90.00
Last column: nearest neighbours and their distance in Å.
Space group F-43m (No. 216)
One atom of each set of equivalent atoms:
1 Ba 0.0000 0.0000 0.0000 x4  4 Pd 3.00
2 Si 0.0000 0.0000 0.5000 x4  4 Pd 3.00
3 Pd 0.2500 0.2500 0.7500 x4  4 Ba 3.00, 4 Si 3.00



# 5
DFT (PBE) results for a geometry-optimized BaSi2Pd2 structure.

Calculated values
Total DFT energy (no corrections): -5.143 eV/atom

Lattice parameters (Å, degrees): 4.1023 4.1023 15.3019 90.00 90.00 120.00
Last column: nearest neighbours and their distance in Å.
Space group P6_3/mmc (No. 194)
One atom of each set of equivalent atoms:
1 Ba 0.0000 0.0000 0.2500 x2  6 Si 3.34, 6 Pd 3.74
2 Si 0.3333 0.6667 0.0963 x4  4 Pd 2.41-2.43
3 Pd 0.3333 0.6667 0.5611 x4  4 Si 2.41-2.43



# 6
DFT (PBE) results for a geometry-optimized BaSiPd2 structure.

Calculated values
Total DFT energy (no corrections): -5.136 eV/atom

Lattice parameters (Å, degrees): 7.4518 4.5066 11.1698 90.00 90.00 90.00
Last column: nearest neighbours and their distance in Å.
Space group Pnma (No. 62)
One atom of each set of equivalent atoms:
1 Ba 0.1553 0.2500 0.1279 x4  9 Pd 3.30-3.58, 4 Si 3.58-3.66
2 Si 0.0417 0.7500 0.3654 x4  5 Pd 2.36-2.44
3 Pd 0.0995 0.2500 0.4411 x4  3 Si 2.40-2.44
4 Pd 0.1535 0.2500 0.8074 x4  2 Si 2.36-2.42



# 7
DFT (PBE) results for a geometry-optimized BaSiPd structure.

Calculated values
Total DFT energy (no corrections): -4.048 eV/atom

Lattice parameters (Å, degrees): 6.9272 6.9272 6.9272 90.00 90.00 90.00
Last column: nearest neighbours and their distance in Å.
Space group F-43m (No. 216)
One atom of each set of equivalent atoms:
1 Ba 0.0000 0.0000 0.0000 x4  4 Si 3.00
2 Si 0.2500 0.2500 0.2500 x4  4 Pd 3.00, 4 Ba 3.00
3 Pd 0.0000 0.0000 0.5000 x4  4 Si 3.00



# 8
DFT (PBE) results for a geometry-optimized Ba2Si2Pd3 structure.

Calculated values
Total DFT energy (no corrections): -4.460 eV/atom

Lattice parameters (Å, degrees): 4.9298 4.9298 25.0160 90.00 90.00 120.00
Last column: nearest neighbours and their distance in Å.
Space group R3m (No. 160, hexagonal axes)
One atom of each set of equivalent atoms:
1 Ba 0.0000 0.0000 0.0000 x3  7 Pd 2.87-3.18, 3 Si 3.06
2 Ba 0.0000 0.0000 0.4824 x3  5 Pd 3.19-3.33
3 Si 0.0000 0.0000 0.2486 x3  1 Pd 2.62
4 Si 0.0000 0.0000 0.7120 x3  1 Pd 2.55
5 Pd 0.0000 0.0000 0.3532 x3  4 Si 2.62-2.92, 3 Ba 2.89
6 Pd 0.0000 0.0000 0.6100 x3  1 Si 2.55
7 Pd 0.0000 0.0000 0.8851 x3  1 Ba 2.87, 3 Si 2.94, 3 Pd 3.20



# 9
DFT (PBE) results for a geometry-optimized BaSrSi2Pd4 structure.

Calculated values
Total DFT energy (no corrections): -5.077 eV/atom

Lattice parameters (Å, degrees): 4.2888 4.2888 10.9753 90.00 90.00 120.00
Last column: nearest neighbours and their distance in Å.
Space group P-6m2 (No. 187)
One atom of each set of equivalent atoms:
1 Ba 0.0000 0.0000 0.0000 x1  8 Pd 3.38, 6 Si 3.77
2 Sr 0.6667 0.3333 0.5000 x1  8 Pd 3.19-3.25
3 Si 0.3333 0.6667 0.2585 x2  6 Pd 2.53-2.54
4 Pd 0.0000 0.0000 0.3083 x2  3 Si 2.54, 3 Pd 2.70
5 Pd 0.6667 0.3333 0.2091 x2  3 Si 2.53, 3 Pd 2.70



# 10
DFT (PBE) results for a geometry-optimized BaSmPd2 structure.

Calculated values
Total moment: 0.00 μB per formula unit
Total DFT energy (no corrections): -4.843 eV/atom

Lattice parameters (Å, degrees): 4.6262 4.0040 11.6565 90.00 90.00 90.00
Last column: nearest neighbours and their distance in Å.
Space group Amm2 (No. 38)
One atom of each set of equivalent atoms:
1 Ba 0.0000 0.0000 0.0000 x2  7 Pd 3.16-3.34
2 Sm 0.5000 0.0000 0.7313 x2  6 Pd 3.01-3.09
3 Pd 0.0000 0.0000 0.2708 x2  2 Pd 2.92, 4 Sm 3.09, 1 Ba 3.16
4 Pd 0.5000 0.0000 0.4238 x2  2 Pd 2.92, 2 Sm 3.01, 4 Ba 3.19



# 11
DFT (PBE) results for a geometry-optimized Ba2SnPd structure.

Calculated values
Total DFT energy (no corrections): -3.853 eV/atom

Lattice parameters (Å, degrees): 4.8470 5.1897 11.5779 90.00 90.00 90.00
Last column: nearest neighbours and their distance in Å.
Space group Amm2 (No. 38)
One atom of each set of equivalent atoms:
1 Ba 0.0000 0.0000 0.0000 x2  3 Pd 3.45-3.50, 4 Sn 3.72
2 Ba 0.5000 0.0000 0.2901 x2  3 Sn 3.43-3.54, 4 Pd 3.69
3 Sn 0.5000 0.0000 0.5961 x2  2 Pd 2.72
4 Pd 0.0000 0.0000 0.7024 x2  2 Sn 2.72



# 12
DFT (PBE) results for a geometry-optimized BaSnPd structure.

Calculated values
Total DFT energy (no corrections): -4.453 eV/atom

Lattice parameters (Å, degrees): 6.8829 7.0964 8.5778 90.00 121.72 90.00
Last column: nearest neighbours and their distance in Å.
Space group P2_1/c (No. 14)
One atom of each set of equivalent atoms:
1 Ba 0.2108 0.1397 0.4118 x4  2 Pd 3.13-3.47
2 Sn 0.2585 0.6293 0.5736 x4  3 Pd 2.67-2.71
3 Pd 0.3790 0.5994 0.3229 x4  3 Sn 2.67-2.71, 1 Pd 2.94



# 13
DFT (PBE) results for a geometry-optimized BaSr2SnPd structure.

Calculated values
Total DFT energy (no corrections): -3.371 eV/atom

Lattice parameters (Å, degrees): 5.4253 5.4253 12.4417 90.00 90.00 90.00
Last column: nearest neighbours and their distance in Å.
Space group I4mm (No. 107)
One atom of each set of equivalent atoms:
1 Ba 0.0000 0.0000 0.0000 x2  4 Sn 3.94, 8 Sr 4.05-4.21, 4 Pd 4.23
2 Sr 0.0000 0.5000 0.2413 x4  2 Pd 3.07, 2 Sn 3.43
3 Sn 0.0000 0.0000 0.5722 x2  1 Pd 2.68
4 Pd 0.0000 0.0000 0.3567 x2  1 Sn 2.68



# 14
DFT (PBE) results for a geometry-optimized BaSrSn2Pd4 structure.

Calculated values
Total DFT energy (no corrections): -4.739 eV/atom

Lattice parameters (Å, degrees): 4.6464 4.6464 10.6364 90.00 90.00 120.00
Last column: nearest neighbours and their distance in Å.
Space group P-6m2 (No. 187)
One atom of each set of equivalent atoms:
1 Ba 0.0000 0.0000 0.0000 x1  8 Pd 3.28-3.50
2 Sr 0.6667 0.3333 0.5000 x1  8 Pd 3.07-3.37
3 Sn 0.3333 0.6667 0.2586 x2  6 Pd 2.73
4 Pd 0.0000 0.0000 0.3083 x2  3 Sn 2.73, 3 Pd 2.87
5 Pd 0.6667 0.3333 0.2112 x2  3 Sn 2.73, 3 Pd 2.87



# 15
DFT (PBE) results for a geometry-optimized BaTbSn2Pd4 structure.

Calculated values
Total moment: 0.02 μB per formula unit
Total DFT energy (no corrections): -5.172 eV/atom

Lattice parameters (Å, degrees): 4.6347 4.6347 9.9860 90.00 90.00 120.00
Last column: nearest neighbours and their distance in Å.
Space group P-6m2 (No. 187)
One atom of each set of equivalent atoms:
1 Ba 0.0000 0.0000 0.0000 x1  8 Pd 3.42-3.47
2 Tb 0.3333 0.6667 0.5000 x1  8 Pd 2.86-3.08
3 Sn 0.6667 0.3333 0.2757 x2  6 Pd 2.75-2.77
4 Pd 0.0000 0.0000 0.3470 x2  3 Sn 2.77, 4 Pd 2.99-3.06, 3 Tb 3.08
5 Pd 0.3333 0.6667 0.2135 x2  3 Sn 2.75, 1 Tb 2.86, 3 Pd 2.99



# 16
DFT (PBE) results for a geometry-optimized BaYSn2Pd4 structure.

Calculated values
Total moment: 0.02 μB per formula unit
Total DFT energy (no corrections): -5.402 eV/atom

Lattice parameters (Å, degrees): 4.6276 4.6276 10.0189 90.00 90.00 120.00
Last column: nearest neighbours and their distance in Å.
Space group P-6m2 (No. 187)
One atom of each set of equivalent atoms:
1 Ba 0.0000 0.0000 0.0000 x1  8 Pd 3.42-3.49
2 Y 0.3333 0.6667 0.5000 x1  8 Pd 2.88-3.08
3 Sn 0.6667 0.3333 0.2768 x2  6 Pd 2.75-2.77
4 Pd 0.0000 0.0000 0.3480 x2  3 Sn 2.77, 4 Pd 2.99-3.05, 3 Y 3.08
5 Pd 0.3333 0.6667 0.2130 x2  3 Sn 2.75, 1 Y 2.88, 3 Pd 2.99



# 17
DFT (PBE) results for a geometry-optimized BaSr3Pd4 structure.

Calculated values
Total DFT energy (no corrections): -3.878 eV/atom

Lattice parameters (Å, degrees): 6.2138 6.2138 6.2138 90.00 90.00 90.00
Last column: nearest neighbours and their distance in Å.
Space group Pm-3m (No. 221)
One atom of each set of equivalent atoms:
1 Ba 0.0000 0.0000 0.0000 x1  6 Pd 3.11
2 Sr 0.0000 0.5000 0.5000 x3  6 Pd 3.11
3 Pd 0.0000 0.0000 0.5000 x3  4 Sr 3.11, 2 Ba 3.11
4 Pd 0.5000 0.5000 0.5000 x1  6 Sr 3.11



# 18
DFT (PBE) results for a geometry-optimized BaSrPd structure.

Calculated values
Excess energy over the best structure of this formula in the dataset: 0.0 meV/atom

Lattice parameters (Å, degrees): 7.6794 7.6794 7.6794 90.00 90.00 90.00
Last column: nearest neighbours and their distance in Å.
Space group F-43m (No. 216)
One atom of each set of equivalent atoms:
1 Ba 0.0000 0.0000 0.0000 x4  4 Pd 3.33
2 Sr 0.0000 0.0000 0.5000 x4  4 Pd 3.33
3 Pd 0.2500 0.2500 0.2500 x4  4 Sr 3.33, 4 Ba 3.33



# 19
DFT (PBE) results for a geometry-optimized Ba2SrPd9 structure.

Calculated values
Total DFT energy (no corrections): -4.813 eV/atom

Lattice parameters (Å, degrees): 5.5390 5.5390 27.3748 90.00 90.00 120.00
Last column: nearest neighbours and their distance in Å.
Space group R-3m (No. 166, hexagonal axes)
One atom of each set of equivalent atoms:
1 Ba 0.0000 0.0000 0.1399 x6  12 Pd 3.20-3.46, 3 Ba 3.52
2 Sr 0.0000 0.0000 0.0000 x3  18 Pd 3.20-3.55
3 Pd 0.0000 0.0000 0.3326 x6  6 Pd 2.72-2.76
4 Pd 0.0000 0.0000 0.5000 x3  6 Pd 2.83
5 Pd 0.9997 0.4998 0.0813 x18  7 Pd 2.72-2.83



# 20
DFT (PBE) results for a geometry-optimized Ba3SrPd structure.

Calculated values
Total DFT energy (no corrections): -2.776 eV/atom

Lattice parameters (Å, degrees): 6.3865 6.3865 6.3865 90.00 90.00 90.00
Last column: nearest neighbours and their distance in Å.
Space group Pm-3m (No. 221)
One atom of each set of equivalent atoms:
1 Ba 0.0000 0.0000 0.5000 x3  2 Pd 3.19
2 Sr 0.5000 0.5000 0.5000 x1  12 Ba 4.52
3 Pd 0.0000 0.0000 0.0000 x1  6 Ba 3.19



# 21
DFT (PBE) results for a geometry-optimized Ba2SrPd2 structure.

Calculated values
Total DFT energy (no corrections): -3.642 eV/atom

Lattice parameters (Å, degrees): 8.4641 8.4641 4.6707 90.00 90.00 90.00
Last column: nearest neighbours and their distance in Å.
Space group P4/mbm (No. 127)
One atom of each set of equivalent atoms:
1 Ba 0.1615 0.3385 0.0000 x4  6 Pd 3.39-3.45
2 Sr 0.0000 0.0000 0.5000 x2  4 Pd 3.34
3 Pd 0.1261 0.6261 0.5000 x4  1 Pd 3.02, 2 Sr 3.34



# 22
DFT (PBE) results for a geometry-optimized BaSrPd2 structure.

Calculated values
Total DFT energy (no corrections): -4.052 eV/atom

Lattice parameters (Å, degrees): 4.6556 4.2438 11.5157 90.00 90.00 90.00
Last column: nearest neighbours and their distance in Å.
Space group Amm2 (No. 38)
One atom of each set of equivalent atoms:
1 Ba 0.0000 0.0000 0.0000 x2  7 Pd 3.25-3.28
2 Sr 0.5000 0.0000 0.7226 x2  7 Pd 3.19-3.38
3 Pd 0.0000 0.0000 0.2826 x2  2 Pd 2.88
4 Pd 0.5000 0.0000 0.4292 x2  2 Pd 2.88, 2 Sr 3.19



# 23
DFT (PBE) results for a geometry-optimized BaSrTl4Pd2 structure.

Calculated values
Total DFT energy (no corrections): -3.356 eV/atom

Lattice parameters (Å, degrees): 8.4571 4.6021 11.2007 90.00 90.00 90.00
Last column: nearest neighbours and their distance in Å.
Space group Amm2 (No. 38)
One atom of each set of equivalent atoms:
1 Ba 0.0000 0.0000 0.0000 x2  3 Pd 3.17-3.35
2 Sr 0.5000 0.0000 0.8700 x2  3 Pd 3.18-3.34, 4 Tl 3.53
3 Tl 0.2024 0.0000 0.2875 x4  3 Pd 2.93-2.97
4 Tl 0.3066 0.0000 0.5841 x4  3 Pd 2.93-2.99, 1 Tl 3.27
5 Pd 0.0000 0.0000 0.7170 x2  6 Tl 2.97-2.99, 1 Ba 3.17
6 Pd 0.5000 0.0000 0.1540 x2  6 Tl 2.93, 1 Sr 3.18



# 24
DFT (PBE) results for a geometry-optimized BaTbPd2 structure.

Calculated values
Total moment: 0.00 μB per formula unit
Total DFT energy (no corrections): -4.835 eV/atom

Lattice parameters (Å, degrees): 4.5752 3.9671 11.8089 90.00 90.00 90.00
Last column: nearest neighbours and their distance in Å.
Space group Amm2 (No. 38)
One atom of each set of equivalent atoms:
1 Ba 0.0000 0.0000 0.0000 x2  7 Pd 3.14-3.41
2 Tb 0.5000 0.0000 0.7314 x2  6 Pd 2.92-3.05
3 Pd 0.0000 0.0000 0.2655 x2  2 Pd 2.87, 4 Tb 3.05, 1 Ba 3.14
4 Pd 0.5000 0.0000 0.4123 x2  2 Pd 2.87, 2 Tb 2.92, 4 Ba 3.20